The following is a PBE calculation of crystalline LaPm2Au at its relaxed geometry, from the Alexandria database.

Cell: 4.8281 4.8281 4.9866 Å, 90.00 90.00 90.00°
With the nearest neighbours (Å) after each atom.
Space group P4/mmm (No. 123)
Symmetry-distinct sites (fractional):
La (0.0000, 0.0000, 0.0000) x1  4 Au 3.41, 8 Pm 3.47
Pm (0.0000, 0.5000, 0.5000) x2  4 Pm 3.41, 4 La 3.47, 4 Au 3.47
Au (0.5000, 0.5000, 0.0000) x1  4 La 3.41, 8 Pm 3.47

Values from the calculation:
Electronic total energy (eV per atom): -4.65
Energy of formation from the pure elements (eV/atom): -0.223
Polymorph energy (0 for the lowest one) (meV per atom): 180.8